A plane-wave DFT calculation with PBE with a Hubbard U was carried out for a relaxed CrHgAuF6 crystal.

Cell: 5.8837 5.8837 9.4405 Å, 90.00 90.00 120.00°
Closest atoms and distances in Å follow each position.
Element x y z (fractional)
F  0.0506  0.3934  0.6363  1 Cr 1.96
F  0.3428  0.3934  0.8637  1 Cr 1.96
F  0.6572  0.0506  0.3637  1 Cr 1.96
F  0.6066  0.9494  0.8637  1 Cr 1.96
F  0.9494  0.6066  0.3637  1 Cr 1.96
F  0.3934  0.3428  0.3637  1 Cr 1.96
F  0.6572  0.6066  0.1363  1 Cr 1.96
F  0.9494  0.3428  0.1363  1 Cr 1.96
F  0.3428  0.9494  0.6363  1 Cr 1.96
F  0.6066  0.6572  0.6363  1 Cr 1.96
F  0.3934  0.0506  0.1363  1 Cr 1.96
F  0.0506  0.6572  0.8637  1 Cr 1.96
Cr  0.3333  0.6667  0.7500  6 F 1.96
Cr  0.6667  0.3333  0.2500  6 F 1.96
Au  0.0000  0.0000  0.5000  6 F 2.53
Au  0.0000  0.0000  0.0000  6 F 2.53
Hg  0.6667  0.3333  0.7500  6 F 2.36
Hg  0.3333  0.6667  0.2500  6 F 2.36

Output
Symmetry   P-31c
Total energy   -75.40 eV/cell